Compound: CsRh5Se8
Source: Alexandria via LeMat-Bulk
Functional: PBE
Structure: relaxed Values from VASP.

Computed properties:
As for the density of states at the Fermi level: 2.754 states/eV/cell. Its raw formation energy is -0.51 eV per atom. The calculation puts the density at 6.8 Mg/m³. Its calculated volume is 22.35 Å³/atom.

Quantum ESPRESSO input file:
```
&SYSTEM
  ibrav = 0, nat = 14, ntyp = 3
/
ATOMIC_SPECIES
Cs 132.91 Cs.upf
Rh 102.91 Rh.upf
Se 78.96 Se.upf
CELL_PARAMETERS angstrom
9.6595 -1.8811 0.0000
9.6595 1.8811 0.0000
-2.3206 0.0000 8.6118
ATOMIC_POSITIONS crystal
Cs 0.0000 0.0000 0.0000
Rh 0.1599 0.1599 0.4763
Rh 0.2026 0.2026 0.8258
Rh 0.5000 0.5000 0.5000
Rh 0.7974 0.7974 0.1742
Rh 0.8401 0.8401 0.5237
Se 0.0752 0.0752 0.6402
Se 0.2627 0.2627 0.3476
Se 0.3223 0.3223 0.0133
Se 0.4106 0.4106 0.6639
Se 0.5894 0.5894 0.3361
Se 0.6777 0.6777 0.9867
Se 0.7373 0.7373 0.6524
Se 0.9248 0.9248 0.3598
```